Entry from Alexandria via LeMat-Bulk: a relaxed structure of Ti2AgBPd (PBE).

The structure in POSCAR format:
```
Ti2AgBPd
1.0
-4.222 -2.111 -1.287
1.998 -2.827 -1.919
0.104 -2.696 4.081
B Pd Ag Ti
1 1 1 2
direct
0.000 0.500 0.000
0.000 0.000 0.000
0.500 0.500 0.500
0.000 0.000 0.500
0.500 0.000 0.000
```

Properties
* space group: P4/mmm (123)
* theoretical density: 5.62 g/cm3
* total energy: -26.976 eV per cell